The following is a PBE calculation of a geometry-optimized CsRbP2S structure, from Alexandria via LeMat-Bulk.

a = 6.4647 Å, b = 6.4647 Å, c = 6.1163 Å
α = 90.00°, β = 90.00°, γ = 90.00°
With the nearest neighbours (Å) after each atom.
Sites, in units of the cell vectors:
Cs 0.0000 0.0000 0.0000  8 P 4.45, 4 S 4.57
Rb 0.5000 0.5000 0.5000  2 S 3.06, 4 P 3.23
P 0.0000 0.5000 0.5000  2 Rb 3.23
P 0.5000 0.0000 0.5000  2 Rb 3.23
S 0.5000 0.5000 0.0000  2 Rb 3.06

Symmetry: P4/mmm, No. 123
Magnetization (μB per atom): 1.202
ΔE_f (raw) (eV per atom): 0.8869
Energy above the most stable polymorph in this dataset (meV/atom): 0.0
Total energy (Ry/atom): -0.1813